Entry 1:
The following is a SCAN calculation of a PBEsol-optimized structure of KNiTeO6, from Alexandria via LeMat-Bulk.

a = 5.0029 Å, b = 5.0029 Å, c = 6.0315 Å
α = 90.00°, β = 90.00°, γ = 120.00°
Element x y z (fractional)
K: 0.0000 0.0000 0.0000
Ni: 0.6667 0.3333 0.5000
Te: 0.3333 0.6667 0.5000
O: 0.3852 0.0130 0.3215
O: 0.3852 0.3722 0.6785
O: 0.6278 0.0130 0.6785
O: 0.6278 0.6148 0.3215
O: 0.9870 0.3722 0.3215
O: 0.9870 0.6148 0.6785

Output
Formation energy without anion corrections = -9.7 eV/f.u.
Calculated density = 4.1 g cm⁻³
Space-group type = P312, No. 149
E_tot = -12.095 eV/atom

Entry 2:
The following is a SCAN calculation of a PBEsol-optimized structure of KNi2Os, from Alexandria via LeMat-Bulk.

a = 4.2565 Å, b = 4.2565 Å, c = 6.7137 Å
α = 94.06°, β = 94.06°, γ = 35.63°
Element x y z (fractional)
K: 0.0000 0.0000 0.0000
Ni: 0.2382 0.2382 0.6485
Ni: 0.7618 0.7618 0.3515
Os: 0.5000 0.5000 0.5000

Output
Calculated density = 8.1 g cm⁻³
Space-group type = C2/m, No. 12
E_form = 0.64 eV per atom
E_tot = -27.497 eV/atom

Entry 3:
The following is a SCAN calculation of a PBEsol-optimized structure of KNi2Os, from Alexandria via LeMat-Bulk.

a = 2.7500 Å, b = 2.7500 Å, c = 8.3308 Å
α = 90.00°, β = 90.00°, γ = 90.00°
Element x y z (fractional)
K: 0.0000 0.0000 0.0000
Ni: 0.5000 0.5000 0.3121
Ni: 0.5000 0.5000 0.6879
Os: 0.0000 0.0000 0.5000

Output
Calculated density = 9.1 g cm⁻³
Space-group type = P4/mmm, No. 123
E_form = 0.62 eV per atom
E_tot = -27.514 eV/atom

Entry 4:
The following is a SCAN calculation of a PBEsol-optimized structure of KNi2Os, from Alexandria via LeMat-Bulk.

a = 2.5913 Å, b = 3.9931 Å, c = 6.8849 Å
α = 90.00°, β = 100.25°, γ = 90.00°
Element x y z (fractional)
K: 0.0000 0.0000 0.0000
Ni: 0.6614 0.5000 0.3144
Ni: 0.7507 0.0000 0.5121
Os: 0.3030 0.5000 0.6187

Output
Calculated density = 8.2 g cm⁻³
Space-group type = Pm, No. 6
E_form = 0.75 eV per atom
E_tot = -27.388 eV/atom